1.
DFT (PBE) results for an optimized crystal structure of Cd2RhPb2.

Cell: 7.2244 7.2244 4.8908 Å, 90.00 90.00 90.00°
Fractional coordinates of all 10 atoms:
Cd (0.1546, 0.3454, 0.0000)
Cd (0.3454, 0.8454, 0.0000)
Cd (0.6546, 0.1546, 0.0000)
Cd (0.8454, 0.6546, 0.0000)
Rh (0.0000, 0.0000, 0.5000)
Rh (0.5000, 0.5000, 0.5000)
Pb (0.1616, 0.6616, 0.5000)
Pb (0.3384, 0.1616, 0.5000)
Pb (0.6616, 0.8384, 0.5000)
Pb (0.8384, 0.3384, 0.5000)

2.
DFT (PBE) results for an optimized crystal structure of Cd2RhPb2.

Cell: 7.0981 7.0981 4.9219 Å, 90.00 90.00 90.00°
Fractional coordinates of all 10 atoms:
Cd (0.1449, 0.3551, 0.0000)
Cd (0.3551, 0.8551, 0.0000)
Cd (0.6449, 0.1449, 0.0000)
Cd (0.8551, 0.6449, 0.0000)
Rh (0.0000, 0.0000, 0.0000)
Rh (0.5000, 0.5000, 0.0000)
Pb (0.1781, 0.6781, 0.5000)
Pb (0.3219, 0.1781, 0.5000)
Pb (0.6781, 0.8219, 0.5000)
Pb (0.8219, 0.3219, 0.5000)

3.
DFT (PBE) results for an optimized crystal structure of Cd2RhPb2.

Cell: 7.7106 7.7106 7.7106 Å, 130.79 68.96 134.88°
Fractional coordinates of all 10 atoms:
Cd (0.0859, 0.1578, 0.2437)
Cd (0.4141, 0.6578, 0.0719)
Cd (0.5859, 0.3422, 0.9281)
Cd (0.9141, 0.8422, 0.7563)
Rh (0.2500, 0.7500, 0.5000)
Rh (0.7500, 0.2500, 0.5000)
Pb (0.1660, 0.6725, 0.8385)
Pb (0.3340, 0.1725, 0.5065)
Pb (0.6660, 0.8275, 0.4935)
Pb (0.8340, 0.3275, 0.1615)

Which one sits at the bottom of the stability order? 1 does.

1.
DFT (PBE) results for an optimized crystal structure of Cd2Rh2Pb.

Cell: 6.9119 6.9119 6.9119 Å, 145.80 145.80 49.14°
Fractional coordinates of all 5 atoms:
Cd (0.2500, 0.7500, 0.5000)
Cd (0.7500, 0.2500, 0.5000)
Rh (0.1009, 0.1009, 0.0000)
Rh (0.8991, 0.8991, 0.0000)
Pb (0.5000, 0.5000, 0.0000)

2.
DFT (PBE) results for an optimized crystal structure of Cd2Rh2Pb.

Cell: 6.9534 6.9534 4.0854 Å, 90.00 90.00 90.00°
Fractional coordinates of all 10 atoms:
Cd (0.1532, 0.3468, 0.0000)
Cd (0.3468, 0.8468, 0.0000)
Cd (0.6532, 0.1532, 0.0000)
Cd (0.8468, 0.6532, 0.0000)
Rh (0.1424, 0.6424, 0.5000)
Rh (0.3576, 0.1424, 0.5000)
Rh (0.6424, 0.8576, 0.5000)
Rh (0.8576, 0.3576, 0.5000)
Pb (0.0000, 0.0000, 0.5000)
Pb (0.5000, 0.5000, 0.5000)

3.
DFT (PBE) results for an optimized crystal structure of Cd2Rh2Pb.

Cell: 7.2383 7.2383 7.2383 Å, 147.95 147.95 45.96°
Fractional coordinates of all 5 atoms:
Cd (0.1104, 0.1104, 0.0000)
Cd (0.8896, 0.8896, 0.0000)
Rh (0.2500, 0.7500, 0.5000)
Rh (0.7500, 0.2500, 0.5000)
Pb (0.5000, 0.5000, 0.0000)

4.
DFT (PBE) results for an optimized crystal structure of Cd2Rh2Pb.

Cell: 7.9268 7.9268 3.1114 Å, 90.00 90.00 90.00°
Fractional coordinates of all 10 atoms:
Cd (0.1293, 0.3707, 0.0000)
Cd (0.3707, 0.8707, 0.0000)
Cd (0.6293, 0.1293, 0.0000)
Cd (0.8707, 0.6293, 0.0000)
Rh (0.1665, 0.6665, 0.5000)
Rh (0.3335, 0.1665, 0.5000)
Rh (0.6665, 0.8335, 0.5000)
Rh (0.8335, 0.3335, 0.5000)
Pb (0.0000, 0.0000, 0.0000)
Pb (0.5000, 0.5000, 0.0000)

Which one sits at the bottom of the stability order? 3 does.

1.
DFT (PBE) results for an optimized crystal structure of SrCdRhPb2.

Cell: 5.3216 5.3216 5.2524 Å, 90.00 90.00 90.00°
Fractional coordinates of all 5 atoms:
Sr (0.0000, 0.0000, 0.0000)
Cd (0.5000, 0.5000, 0.0000)
Rh (0.5000, 0.5000, 0.5000)
Pb (0.0000, 0.5000, 0.5000)
Pb (0.5000, 0.0000, 0.5000)

2.
DFT (PBE) results for an optimized crystal structure of SrCdRhPb2.

Cell: 5.2996 5.2996 5.6549 Å, 90.00 90.00 90.00°
Fractional coordinates of all 5 atoms:
Sr (0.0000, 0.0000, 0.0000)
Cd (0.5000, 0.5000, 0.0000)
Rh (0.0000, 0.0000, 0.5000)
Pb (0.0000, 0.5000, 0.5000)
Pb (0.5000, 0.0000, 0.5000)

Which one sits at the bottom of the stability order? 2 does.

1.
DFT (PBE) results for an optimized crystal structure of CdTcRh2Pb.

Cell: 4.7312 4.7312 5.2556 Å, 90.00 90.00 90.00°
Fractional coordinates of all 5 atoms:
Cd (0.0000, 0.0000, 0.0000)
Tc (0.5000, 0.5000, 0.5000)
Rh (0.0000, 0.5000, 0.5000)
Rh (0.5000, 0.0000, 0.5000)
Pb (0.5000, 0.5000, 0.0000)

2.
DFT (PBE) results for an optimized crystal structure of CdTcRh2Pb.

Cell: 4.9723 4.9723 5.2418 Å, 90.00 90.00 90.00°
Fractional coordinates of all 5 atoms:
Cd (0.0000, 0.0000, 0.0000)
Tc (0.5000, 0.5000, 0.0000)
Rh (0.0000, 0.5000, 0.5000)
Rh (0.5000, 0.0000, 0.5000)
Pb (0.0000, 0.0000, 0.5000)

Which one sits at the bottom of the stability order? 2 does.

1.
DFT (PBE) results for an optimized crystal structure of TlCdRhPb2.

Cell: 5.3226 5.3226 5.2937 Å, 90.00 90.00 90.00°
Fractional coordinates of all 5 atoms:
Tl (0.0000, 0.0000, 0.0000)
Cd (0.5000, 0.5000, 0.0000)
Rh (0.0000, 0.0000, 0.5000)
Pb (0.0000, 0.5000, 0.5000)
Pb (0.5000, 0.0000, 0.5000)

2.
DFT (PBE) results for an optimized crystal structure of TlCdRhPb2.

Cell: 5.2647 5.2647 5.2968 Å, 90.00 90.00 90.00°
Fractional coordinates of all 5 atoms:
Tl (0.0000, 0.0000, 0.0000)
Cd (0.5000, 0.5000, 0.0000)
Rh (0.5000, 0.5000, 0.5000)
Pb (0.0000, 0.5000, 0.5000)
Pb (0.5000, 0.0000, 0.5000)

Which one sits at the bottom of the stability order? 1 does.

1.
DFT (PBE) results for an optimized crystal structure of CdRu2Pb.

Cell: 4.6273 4.6273 4.6273 Å, 60.00 60.00 60.00°
Fractional coordinates of all 4 atoms:
Cd (0.0000, 0.0000, 0.0000)
Ru (0.2500, 0.2500, 0.2500)
Ru (0.7500, 0.7500, 0.7500)
Pb (0.5000, 0.5000, 0.5000)

2.
DFT (PBE) results for an optimized crystal structure of CdRu2Pb.

Cell: 2.9990 2.9990 8.7095 Å, 90.00 90.00 90.00°
Fractional coordinates of all 4 atoms:
Cd (0.0000, 0.0000, 0.0000)
Ru (0.0000, 0.0000, 0.6012)
Ru (0.5000, 0.5000, 0.7760)
Pb (0.5000, 0.5000, 0.3522)

3.
DFT (PBE) results for an optimized crystal structure of CdRu2Pb.

Cell: 9.8928 9.8928 9.8928 Å, 17.49 17.49 17.49°
Fractional coordinates of all 4 atoms:
Cd (0.0000, 0.0000, 0.0000)
Ru (0.2538, 0.2538, 0.2538)
Ru (0.5213, 0.5213, 0.5213)
Pb (0.7704, 0.7704, 0.7704)

4.
DFT (PBE) results for an optimized crystal structure of CdRu2Pb.

Cell: 5.3900 5.3900 4.9017 Å, 109.41 109.41 32.75°
Fractional coordinates of all 4 atoms:
Cd (0.0000, 0.0000, 0.0000)
Ru (0.4583, 0.4583, 0.4789)
Ru (0.7550, 0.7550, 0.1291)
Pb (0.2147, 0.2147, 0.6132)

Which one sits at the bottom of the stability order? 3 does.